# 1
# CsRb PBE relaxed
data_CsRb
_chemical_formula_sum 'Cs4 Rb4'
_symmetry_space_group_name_H-M 'P 42/m n m'
_symmetry_Int_Tables_number 136
_symmetry_space_group_name_Hall '-P 4n 2n'
_cell_length_a 9.5474
_cell_length_b 9.5474
_cell_length_c 9.5788
_cell_angle_alpha 90.00
_cell_angle_beta 90.00
_cell_angle_gamma 90.00
loop_
_atom_site_label
_atom_site_type_symbol
_atom_site_fract_x
_atom_site_fract_y
_atom_site_fract_z
Cs1 Cs 0.1903 0.1903 0.0000
Rb1 Rb 0.1848 0.1848 0.5000
# **Density**: 1.66 g/cm³
# **E above lowest polymorph**: 75.8 meV per atom
# **Calculated formation energy**: 7 kJ/mol of atoms
# **Total moment**: 0.000 μB/atom
# **Calculated total energy**: -6.7 eV/cell

=====

# 2
# LaMg4Ni4 PBE relaxed
data_LaMg4Ni4
_chemical_formula_sum 'La2 Mg8 Ni8'
_symmetry_space_group_name_H-M 'P 42/n'
_symmetry_Int_Tables_number 86
_cell_length_a 8.3177
_cell_length_b 8.3177
_cell_length_c 5.0918
_cell_angle_alpha 90.00
_cell_angle_beta 90.00
_cell_angle_gamma 90.00
loop_
_symmetry_equiv_pos_as_xyz
'x,y,z'
'-x,-y,-z'
'-y,x+1/2,z+1/2'
'y,-x+1/2,-z+1/2'
'-x+1/2,-y+1/2,z'
'x+1/2,y+1/2,-z'
'y+1/2,-x,z+1/2'
'-y+1/2,x,-z+1/2'
loop_
_atom_site_label
_atom_site_type_symbol
_atom_site_fract_x
_atom_site_fract_y
_atom_site_fract_z
La1 La 0.2500 0.2500 0.2500
Mg1 Mg 0.0974 0.6451 0.1433
Ni1 Ni 0.0446 0.5978 0.6457
# **Density**: 4.44 g/cm³
# **Calculated formation energy**: -1 kJ/mol of atoms
# **Total moment**: 0.000 μB/atom
# **Calculated total energy**: -69.1 eV/cell